(1)
# PBE Y2TmHg, relaxed
# **Total moment**: 0.0 μB per formula unit
# **ΔE_f**: -0.2278 eV/atom
# **Crystal system**: tetragonal
# **Offset from the most stable computed form**: 0.0 meV per atom
data_Y2TmHg
_chemical_formula_sum 'Y2 Tm1 Hg1'
_space_group_name_H-M_alt 'P 4/m m m'
_space_group_IT_number 123
_space_group_name_Hall '-P 4 2'
_cell_length_a 3.596
_cell_length_b 3.596
_cell_length_c 8.903
_cell_angle_alpha 90.00
_cell_angle_beta 90.00
_cell_angle_gamma 90.00
loop_
_atom_site_label
_atom_site_fract_x
_atom_site_fract_y
_atom_site_fract_z
Y1 0.000 0.000 0.225
Tm1 0.500 0.500 0.500
Hg1 0.500 0.500 0.000


(2)
# PBE YTmHg4, relaxed
# **Total moment**: 0.0 μB per formula unit
# **ΔE_f**: -0.3873 eV/atom
# **Crystal system**: orthorhombic
# **Offset from the most stable computed form**: 0.0 meV per atom
data_YTmHg4
_chemical_formula_sum 'Y2 Tm2 Hg8'
_space_group_name_H-M_alt 'A m m 2'
_space_group_IT_number 38
_space_group_name_Hall 'A 2 -2'
_cell_length_a 5.176
_cell_length_b 3.910
_cell_length_c 14.518
_cell_angle_alpha 90.00
_cell_angle_beta 90.00
_cell_angle_gamma 90.00
loop_
_atom_site_label
_atom_site_fract_x
_atom_site_fract_y
_atom_site_fract_z
Y1 0.000 0.000 0.000
Tm1 0.500 0.000 0.793
Hg1 0.000 0.000 0.331
Hg2 0.000 0.000 0.667
Hg3 0.500 0.000 0.129
Hg4 0.500 0.000 0.460


(3)
# PBE YTm2Hg2, relaxed
# **Total moment**: 0.0 μB per formula unit
# **ΔE_f**: -0.2460 eV/atom
# **Crystal system**: trigonal
# **Offset from the most stable computed form**: 151.4 meV per atom
data_YTm2Hg2
_chemical_formula_sum 'Y1 Tm2 Hg2'
_space_group_name_H-M_alt 'P -3 m 1'
_space_group_IT_number 164
_space_group_name_Hall '-P 3 2"'
_cell_length_a 5.1035
_cell_length_b 5.1035
_cell_length_c 6.3363
_cell_angle_alpha 90.00
_cell_angle_beta 90.00
_cell_angle_gamma 120.00
loop_
_atom_site_label
_atom_site_fract_x
_atom_site_fract_y
_atom_site_fract_z
Y1 0.0000 0.0000 0.0000
Tm1 0.3333 0.6667 0.6603
Hg1 0.3333 0.6667 0.1832


(4)
# PBE Y2TmHg, relaxed
# **Total moment**: 1.4 μB per formula unit
# **ΔE_f**: 0.0868 eV/atom
# **Crystal system**: trigonal
# **Offset from the most stable computed form**: 314.6 meV per atom
data_Y2TmHg
_chemical_formula_sum 'Y6 Tm3 Hg3'
_space_group_name_H-M_alt 'R -3 m'
_space_group_IT_number 166
_space_group_name_Hall '-R 3 2"'
_cell_length_a 3.5108
_cell_length_b 3.5108
_cell_length_c 34.7741
_cell_angle_alpha 90.00
_cell_angle_beta 90.00
_cell_angle_gamma 120.00
loop_
_atom_site_label
_atom_site_fract_x
_atom_site_fract_y
_atom_site_fract_z
Y1 0.0000 0.0000 0.0969
Tm1 0.0000 0.0000 0.0000
Hg1 0.0000 0.0000 0.5000


(5)
# PBE YTmHg, relaxed
# **Total moment**: 1.2 μB per formula unit
# **ΔE_f**: -0.3125 eV/atom
# **Crystal system**: tetragonal
# **Offset from the most stable computed form**: 74.1 meV per atom
data_YTmHg
_chemical_formula_sum 'Y2 Tm2 Hg2'
_space_group_name_H-M_alt 'I 4 m m'
_space_group_IT_number 107
_space_group_name_Hall 'I 4 -2'
_cell_length_a 3.598
_cell_length_b 3.598
_cell_length_c 12.793
_cell_angle_alpha 90.00
_cell_angle_beta 90.00
_cell_angle_gamma 90.00
loop_
_atom_site_label
_atom_site_fract_x
_atom_site_fract_y
_atom_site_fract_z
Y1 0.000 0.000 0.000
Tm1 0.000 0.000 0.693
Hg1 0.000 0.000 0.341


(6)
# PBE Y2TmHg, relaxed
# **Total moment**: 0.0 μB per formula unit
# **ΔE_f**: -0.1237 eV/atom
# **Crystal system**: tetragonal
# **Offset from the most stable computed form**: 104.1 meV per atom
data_Y2TmHg
_chemical_formula_sum 'Y2 Tm1 Hg1'
_space_group_name_H-M_alt 'P 4/m m m'
_space_group_IT_number 123
_space_group_name_Hall '-P 4 2'
_cell_length_a 5.312
_cell_length_b 5.312
_cell_length_c 3.980
_cell_angle_alpha 90.00
_cell_angle_beta 90.00
_cell_angle_gamma 90.00
loop_
_atom_site_label
_atom_site_fract_x
_atom_site_fract_y
_atom_site_fract_z
Y1 0.000 0.500 0.000
Tm1 0.000 0.000 0.500
Hg1 0.500 0.500 0.500


(7)
# PBE Y2Tm3Hg4, relaxed
# **Total moment**: 0.0 μB per formula unit
# **ΔE_f**: -0.3497 eV/atom
# **Crystal system**: orthorhombic
data_Y2Tm3Hg4
_chemical_formula_sum 'Y8 Tm12 Hg16'
_space_group_name_H-M_alt 'C m c e'
_space_group_IT_number 64
_space_group_name_Hall '-C 2ac 2'
_cell_length_a 6.894
_cell_length_b 17.785
_cell_length_c 7.955
_cell_angle_alpha 90.00
_cell_angle_beta 90.00
_cell_angle_gamma 90.00
loop_
_atom_site_label
_atom_site_fract_x
_atom_site_fract_y
_atom_site_fract_z
Y1 0.000 0.096 0.089
Tm1 0.000 0.000 0.500
Tm2 0.250 0.238 0.750
Hg1 0.000 0.167 0.467
Hg2 0.250 0.066 0.750


(8)
# PBE Y4TmHg5, relaxed
# **Total moment**: 0.0 μB per formula unit
# **ΔE_f**: -0.5051 eV/atom
# **Crystal system**: tetragonal
data_Y4TmHg5
_chemical_formula_sum 'Y4 Tm1 Hg5'
_space_group_name_H-M_alt 'P 4/m m m'
_space_group_IT_number 123
_space_group_name_Hall '-P 4 2'
_cell_length_a 3.715
_cell_length_b 3.715
_cell_length_c 18.623
_cell_angle_alpha 90.00
_cell_angle_beta 90.00
_cell_angle_gamma 90.00
loop_
_atom_site_label
_atom_site_fract_x
_atom_site_fract_y
_atom_site_fract_z
Y1 0.000 0.000 0.101
Y2 0.000 0.000 0.302
Tm1 0.000 0.000 0.500
Hg1 0.500 0.500 0.000
Hg2 0.500 0.500 0.201
Hg3 0.500 0.500 0.404


(9)
# PBE Y6TmHg2, relaxed
# **Total moment**: 0.0 μB per formula unit
# **ΔE_f**: -0.2167 eV/atom
# **Crystal system**: monoclinic
data_Y6TmHg2
_chemical_formula_sum 'Y12 Tm2 Hg4'
_space_group_name_H-M_alt 'C 1 2/m 1'
_space_group_IT_number 12
_space_group_name_Hall '-C 2y'
_cell_length_a 12.645
_cell_length_b 3.707
_cell_length_c 11.892
_cell_angle_alpha 90.00
_cell_angle_beta 108.70
_cell_angle_gamma 90.00
loop_
_atom_site_label
_atom_site_fract_x
_atom_site_fract_y
_atom_site_fract_z
Y1 0.019 0.000 0.336
Y2 0.187 0.500 0.877
Y3 0.188 0.500 0.587
Tm1 0.000 0.000 0.000
Hg1 0.141 0.500 0.199


(10)
# PBE YTm5Hg4, relaxed
# **Total moment**: 0.0 μB per formula unit
# **ΔE_f**: -0.3727 eV/atom
# **Crystal system**: tetragonal
data_YTm5Hg4
_chemical_formula_sum 'Y1 Tm5 Hg4'
_space_group_name_H-M_alt 'P 4/m m m'
_space_group_IT_number 123
_space_group_name_Hall '-P 4 2'
_cell_length_a 3.635
_cell_length_b 3.635
_cell_length_c 19.926
_cell_angle_alpha 90.00
_cell_angle_beta 90.00
_cell_angle_gamma 90.00
loop_
_atom_site_label
_atom_site_fract_x
_atom_site_fract_y
_atom_site_fract_z
Y1 0.000 0.000 0.000
Tm1 0.500 0.500 0.124
Tm2 0.500 0.500 0.313
Tm3 0.500 0.500 0.500
Hg1 0.000 0.000 0.217
Hg2 0.000 0.000 0.405


(11)
# PBE YTmHg6, relaxed
# **Total moment**: 0.0 μB per formula unit
# **ΔE_f**: -0.3062 eV/atom
# **Crystal system**: tetragonal
# **Offset from the most stable computed form**: 25.2 meV per atom
data_YTmHg6
_chemical_formula_sum 'Y1 Tm1 Hg6'
_space_group_name_H-M_alt 'P 4/m m m'
_space_group_IT_number 123
_space_group_name_Hall '-P 4 2'
_cell_length_a 4.493
_cell_length_b 4.493
_cell_length_c 9.610
_cell_angle_alpha 90.00
_cell_angle_beta 90.00
_cell_angle_gamma 90.00
loop_
_atom_site_label
_atom_site_fract_x
_atom_site_fract_y
_atom_site_fract_z
Y1 0.000 0.000 0.000
Tm1 0.000 0.000 0.500
Hg1 0.000 0.500 0.252
Hg2 0.500 0.500 0.000
Hg3 0.500 0.500 0.500


(12)
# PBE Y3TmHg6, relaxed
# **Total moment**: 0.0 μB per formula unit
# **ΔE_f**: -0.4367 eV/atom
# **Crystal system**: monoclinic
data_Y3TmHg6
_chemical_formula_sum 'Y6 Tm2 Hg12'
_space_group_name_H-M_alt 'P 1 21/m 1'
_space_group_IT_number 11
_space_group_name_Hall '-P 2yb'
_cell_length_a 9.134
_cell_length_b 5.145
_cell_length_c 11.110
_cell_angle_alpha 90.00
_cell_angle_beta 106.84
_cell_angle_gamma 90.00
loop_
_atom_site_label
_atom_site_fract_x
_atom_site_fract_y
_atom_site_fract_z
Y1 0.018 0.250 0.387
Y2 0.147 0.750 0.205
Y3 0.271 0.250 0.991
Tm1 0.440 0.250 0.605
Hg1 0.035 0.750 0.911
Hg2 0.156 0.250 0.699
Hg3 0.260 0.750 0.495
Hg4 0.344 0.250 0.312
Hg5 0.357 0.750 0.808
Hg6 0.438 0.750 0.110


(13)
# PBE Y3TmHg12, relaxed
# **Total moment**: 0.0 μB per formula unit
# **ΔE_f**: -0.3194 eV/atom
# **Crystal system**: tetragonal
data_Y3TmHg12
_chemical_formula_sum 'Y3 Tm1 Hg12'
_space_group_name_H-M_alt 'P 4/m m m'
_space_group_IT_number 123
_space_group_name_Hall '-P 4 2'
_cell_length_a 4.512
_cell_length_b 4.512
_cell_length_c 19.199
_cell_angle_alpha 90.00
_cell_angle_beta 90.00
_cell_angle_gamma 90.00
loop_
_atom_site_label
_atom_site_fract_x
_atom_site_fract_y
_atom_site_fract_z
Y1 0.000 0.000 0.000
Y2 0.000 0.000 0.251
Tm1 0.000 0.000 0.500
Hg1 0.000 0.500 0.125
Hg2 0.000 0.500 0.377
Hg3 0.500 0.500 0.000
Hg4 0.500 0.500 0.251
Hg5 0.500 0.500 0.500


(14)
# PBE Y3TmHg2, relaxed
# **Total moment**: 0.0 μB per formula unit
# **ΔE_f**: -0.3816 eV/atom
# **Crystal system**: orthorhombic
data_Y3TmHg2
_chemical_formula_sum 'Y6 Tm2 Hg4'
_space_group_name_H-M_alt 'P m c 21'
_space_group_IT_number 26
_space_group_name_Hall 'P 2c -2'
_cell_length_a 5.132
_cell_length_b 9.239
_cell_length_c 6.991
_cell_angle_alpha 90.00
_cell_angle_beta 90.00
_cell_angle_gamma 90.00
loop_
_atom_site_label
_atom_site_fract_x
_atom_site_fract_y
_atom_site_fract_z
Y1 0.000 0.053 0.000
Y2 0.000 0.328 0.342
Y3 0.500 0.176 0.687
Tm1 0.500 0.445 0.031
Hg1 0.000 0.349 0.782
Hg2 0.500 0.151 0.249


(15)
# PBE YTmHg, relaxed
# **Total moment**: 0.7 μB per formula unit
# **ΔE_f**: -0.3058 eV/atom
# **Crystal system**: monoclinic
# **Offset from the most stable computed form**: 80.8 meV per atom
data_YTmHg
_chemical_formula_sum 'Y6 Tm6 Hg6'
_space_group_name_H-M_alt 'P 1 21/m 1'
_space_group_IT_number 11
_space_group_name_Hall '-P 2yb'
_cell_length_a 8.644
_cell_length_b 3.852
_cell_length_c 15.068
_cell_angle_alpha 90.00
_cell_angle_beta 90.61
_cell_angle_gamma 90.00
loop_
_atom_site_label
_atom_site_fract_x
_atom_site_fract_y
_atom_site_fract_z
Y1 0.018 0.250 0.288
Y2 0.371 0.750 0.914
Y3 0.473 0.750 0.607
Tm1 0.027 0.250 0.904
Tm2 0.150 0.250 0.543
Tm3 0.359 0.750 0.212
Hg1 0.237 0.750 0.400
Hg2 0.254 0.250 0.066
Hg3 0.279 0.250 0.746


(16)
# PBE Y2TmHg, relaxed
# **Total moment**: 0.5 μB per formula unit
# **ΔE_f**: -0.1035 eV/atom
# **Crystal system**: orthorhombic
# **Offset from the most stable computed form**: 124.3 meV per atom
data_Y2TmHg
_chemical_formula_sum 'Y4 Tm2 Hg2'
_space_group_name_H-M_alt 'A m m 2'
_space_group_IT_number 38
_space_group_name_Hall 'A 2 -2'
_cell_length_a 3.543
_cell_length_b 3.485
_cell_length_c 19.224
_cell_angle_alpha 90.00
_cell_angle_beta 90.00
_cell_angle_gamma 90.00
loop_
_atom_site_label
_atom_site_fract_x
_atom_site_fract_y
_atom_site_fract_z
Y1 0.000 0.000 0.000
Y2 0.500 0.000 0.367
Tm1 0.500 0.000 0.157
Hg1 0.000 0.000 0.757


(17)
# PBE YTmHg, relaxed
# **Total moment**: 0.0 μB per formula unit
# **ΔE_f**: -0.1914 eV/atom
# **Crystal system**: trigonal
# **Offset from the most stable computed form**: 195.2 meV per atom
data_YTmHg
_chemical_formula_sum 'Y1 Tm1 Hg1'
_space_group_name_H-M_alt 'P 3 m 1'
_space_group_IT_number 156
_space_group_name_Hall 'P 3 -2"'
_cell_length_a 5.1132
_cell_length_b 5.1132
_cell_length_c 3.6844
_cell_angle_alpha 90.00
_cell_angle_beta 90.00
_cell_angle_gamma 120.00
loop_
_atom_site_label
_atom_site_fract_x
_atom_site_fract_y
_atom_site_fract_z
Y1 0.0000 0.0000 0.0000
Tm1 0.3333 0.6667 0.5307
Hg1 0.6667 0.3333 0.3385


(18)
# PBE Y2Tm2Hg, relaxed
# **Total moment**: 1.6 μB per formula unit
# **ΔE_f**: -0.0398 eV/atom
# **Crystal system**: tetragonal
data_Y2Tm2Hg
_chemical_formula_sum 'Y8 Tm8 Hg4'
_space_group_name_H-M_alt 'I 41/a m d'
_space_group_IT_number 141
_cell_length_a 5.042
_cell_length_b 5.042
_cell_length_c 24.608
_cell_angle_alpha 90.00
_cell_angle_beta 90.00
_cell_angle_gamma 90.00
loop_
_space_group_symop_operation_xyz
'x,y,z'
'-x,-y,-z'
'-y+1/4,x+3/4,z+1/4'
'y+1/4,-x+3/4,-z+1/4'
'-x+1/2,-y,z+1/2'
'x+1/2,y,-z+1/2'
'y+1/4,-x+1/4,z+3/4'
'-y+1/4,x+1/4,-z+3/4'
'x,-y,-z'
'-x,y,z'
'-y+1/4,-x+1/4,-z+3/4'
'y+1/4,x+1/4,z+3/4'
'-x+1/2,y,-z+1/2'
'x+1/2,-y,z+1/2'
'y+1/4,x+3/4,-z+1/4'
'-y+1/4,-x+3/4,z+1/4'
'x+1/2,y+1/2,z+1/2'
'-x+1/2,-y+1/2,-z+1/2'
'-y+3/4,x+1/4,z+3/4'
'y+3/4,-x+1/4,-z+3/4'
'-x,-y+1/2,z'
'x,y+1/2,-z'
'y+3/4,-x+3/4,z+1/4'
'-y+3/4,x+3/4,-z+1/4'
'x+1/2,-y+1/2,-z+1/2'
'-x+1/2,y+1/2,z+1/2'
'-y+3/4,-x+3/4,-z+1/4'
'y+3/4,x+3/4,z+1/4'
'-x,y+1/2,-z'
'x,-y+1/2,z'
'y+3/4,x+1/4,-z+3/4'
'-y+3/4,-x+1/4,z+3/4'
loop_
_atom_site_label
_atom_site_fract_x
_atom_site_fract_y
_atom_site_fract_z
Y1 0.000 0.250 0.050
Tm1 0.000 0.250 0.198
Hg1 0.000 0.250 0.875


(19)
# PBE YTmHg2, relaxed
# **Total moment**: 0.0 μB per formula unit
# **ΔE_f**: -0.3391 eV/atom
# **Crystal system**: monoclinic
# **Offset from the most stable computed form**: 155.5 meV per atom
data_YTmHg2
_chemical_formula_sum 'Y2 Tm2 Hg4'
_space_group_name_H-M_alt 'C 1 m 1'
_space_group_IT_number 8
_space_group_name_Hall 'C -2y'
_cell_length_a 6.437
_cell_length_b 3.700
_cell_length_c 9.439
_cell_angle_alpha 90.00
_cell_angle_beta 103.27
_cell_angle_gamma 90.00
loop_
_atom_site_label
_atom_site_fract_x
_atom_site_fract_y
_atom_site_fract_z
Y1 0.000 0.000 0.000
Tm1 0.333 0.500 0.501
Hg1 0.247 0.000 0.745
Hg2 0.418 0.000 0.255


(20)
# PBE YTm3Hg6, relaxed
# **Total moment**: 0.0 μB per formula unit
# **ΔE_f**: -0.4204 eV/atom
# **Crystal system**: monoclinic
data_YTm3Hg6
_chemical_formula_sum 'Y2 Tm6 Hg12'
_space_group_name_H-M_alt 'P 1 21/m 1'
_space_group_IT_number 11
_space_group_name_Hall '-P 2yb'
_cell_length_a 9.078
_cell_length_b 5.125
_cell_length_c 11.017
_cell_angle_alpha 90.00
_cell_angle_beta 106.72
_cell_angle_gamma 90.00
loop_
_atom_site_label
_atom_site_fract_x
_atom_site_fract_y
_atom_site_fract_z
Y1 0.062 0.250 0.389
Tm1 0.232 0.250 0.006
Tm2 0.353 0.750 0.802
Tm3 0.481 0.250 0.611
Hg1 0.064 0.750 0.903
Hg2 0.140 0.750 0.203
Hg3 0.167 0.250 0.691
Hg4 0.249 0.750 0.515
Hg5 0.355 0.250 0.297
Hg6 0.463 0.750 0.093